(1)
VASP calculation (PBEsol) on NaBi2Au after structural relaxation.

a b c (Å): 6.968 6.968 6.968
angles (deg): 99.95 99.95 130.89
Positions (direct):
1 Na 0.000 0.000 0.000
2 Na 0.750 0.250 0.500
3 Bi 0.206 0.125 0.581
4 Bi 0.375 0.794 0.919
5 Bi 0.544 0.625 0.419
6 Bi 0.875 0.456 0.081
7 Au 0.250 0.750 0.500
8 Au 0.500 0.500 0.000

Properties
- crystal system = tetragonal
- space group = I-42d
- energy of formation (kJ/mol of atoms) = -10.7
- E_tot (eV per atom) = -3.585



(2)
VASP calculation (PBEsol) on Ag3GeSe after structural relaxation.

a b c (Å): 4.901 4.901 4.901
angles (deg): 90.00 90.00 90.00
Positions (direct):
1 Ag 0.000 0.000 0.500
2 Ag 0.000 0.500 0.000
3 Ag 0.500 0.000 0.000
4 Ge 0.500 0.500 0.500
5 Se 0.000 0.000 0.000

Properties
- crystal system = cubic
- space group = Pm-3m
- energy relative to the elements, uncorrected (meV/atom) = 649
- E_tot (eV per atom) = -3.095